Record 1
A geometry-optimized K2CaTe2 structure. Source: Alexandria via LeMat-Bulk, functional PBE-GGA.

```
K2CaTe2
1.0
8.746 0.000 0.000
0.000 8.746 0.000
0.000 0.000 5.007
K Ca Te
4 2 4
direct
0.129 0.371 0.000
0.371 0.871 0.000
0.629 0.129 0.000
0.871 0.629 0.000
0.000 0.000 0.500
0.500 0.500 0.500
0.181 0.681 0.500
0.319 0.181 0.500
0.681 0.819 0.500
0.819 0.319 0.500
```

As for the space group: P4/mbm. The calculation puts the energy above the most stable polymorph in this dataset at 174 meV per atom. Its formation energy without anion corrections is -1044 meV/atom.

=====

Record 2
A geometry-optimized K2CaTe2 structure. Source: Alexandria via LeMat-Bulk, functional PBE-GGA.

```
K2CaTe2
1.0
-4.209 6.903 3.774
4.209 -6.903 3.774
4.209 6.903 -3.774
K Ca Te
4 2 4
direct
0.144 0.138 0.282
0.356 0.638 0.994
0.644 0.362 0.006
0.856 0.862 0.718
0.250 0.750 0.500
0.750 0.250 0.500
0.109 0.723 0.832
0.391 0.223 0.614
0.609 0.777 0.386
0.891 0.277 0.168
```

As for the space group: Ibam. The calculation puts the energy above the most stable polymorph in this dataset at 0 meV per atom. Its formation energy without anion corrections is -1218 meV/atom.

=====

Record 3
A geometry-optimized K2CaTe structure. Source: Alexandria via LeMat-Bulk, functional PBE-GGA.

```
K2CaTe
1.0
-2.464 2.464 6.525
2.464 -2.464 6.525
2.464 2.464 -6.525
K Ca Te
2 1 1
direct
0.250 0.750 0.500
0.750 0.250 0.500
0.000 0.000 0.000
0.500 0.500 0.000
```

As for the space group: I4/mmm. Its formation energy without anion corrections is -432 meV/atom.

=====

Record 4
A geometry-optimized K2CaTe structure. Source: Alexandria via LeMat-Bulk, functional PBE-GGA.

```
K2CaTe
1.0
2.339 1.350 11.584
-2.339 1.350 11.584
0.000 -2.700 11.584
K Ca Te
2 1 1
direct
0.000 0.000 0.000
0.214 0.214 0.214
0.441 0.441 0.441
0.731 0.731 0.731
```

As for the space group: R3m. Its formation energy without anion corrections is -662 meV/atom.

=====

Record 5
A geometry-optimized K2CaTe structure. Source: Alexandria via LeMat-Bulk, functional PBE-GGA.

```
K2CaTe
1.0
4.848 0.000 0.000
0.000 4.845 0.000
-0.128 0.000 6.982
K Ca Te
2 1 1
direct
0.014 0.000 0.285
0.986 0.000 0.715
0.500 0.500 0.000
0.500 0.500 0.500
```

As for the space group: P2/m. Its formation energy without anion corrections is -499 meV/atom.

=====

Record 6
A geometry-optimized K4CaTe structure. Source: Alexandria via LeMat-Bulk, functional PBE-GGA.

```
K4CaTe
1.0
0.000 5.313 5.313
5.313 0.000 5.313
5.313 5.313 0.000
K Ca Te
4 1 1
direct
0.124 0.124 0.124
0.124 0.124 0.629
0.124 0.629 0.124
0.629 0.124 0.124
0.500 0.500 0.500
0.750 0.750 0.750
```

As for the space group: F-43m. Its formation energy without anion corrections is 30 meV/atom.

=====

Record 7
A geometry-optimized K2CaTe structure. Source: Alexandria via LeMat-Bulk, functional PBE-GGA.

```
K2CaTe
1.0
2.692 1.554 8.657
-2.692 1.554 8.657
0.000 -3.108 8.657
K Ca Te
2 1 1
direct
0.219 0.219 0.219
0.781 0.781 0.781
0.000 0.000 0.000
0.500 0.500 0.500
```

As for the space group: R-3m. Its formation energy without anion corrections is -336 meV/atom.

=====

Record 8
A geometry-optimized K2CaTe structure. Source: Alexandria via LeMat-Bulk, functional PBE-GGA.

```
K2CaTe
1.0
4.186 0.000 0.000
0.000 4.186 0.000
0.000 0.000 11.021
K Ca Te
2 1 1
direct
0.000 0.000 0.000
0.500 0.500 0.351
0.500 0.500 0.689
0.000 0.000 0.579
```

As for the space group: P4mm. Its formation energy without anion corrections is -651 meV/atom.

=====

Record 9
A geometry-optimized K3CaTe structure. Source: Alexandria via LeMat-Bulk, functional PBE-GGA.

```
K3CaTe
1.0
6.980 0.000 0.000
0.000 6.980 0.000
0.000 0.000 6.980
K Ca Te
3 1 1
direct
0.000 0.000 0.500
0.000 0.500 0.000
0.500 0.000 0.000
0.000 0.000 0.000
0.500 0.500 0.500
```

As for the space group: Pm-3m. The calculation puts the energy above the most stable polymorph in this dataset at 675 meV per atom. Its formation energy without anion corrections is 372 meV/atom.

=====

Record 10
A geometry-optimized K2Ca2Te structure. Source: Alexandria via LeMat-Bulk, functional PBE-GGA.

```
K2Ca2Te
1.0
8.312 0.000 0.000
0.000 8.312 0.000
0.000 0.000 7.210
K Ca Te
4 4 2
direct
0.170 0.330 0.000
0.330 0.830 0.000
0.670 0.170 0.000
0.830 0.670 0.000
0.163 0.663 0.500
0.337 0.163 0.500
0.663 0.837 0.500
0.837 0.337 0.500
0.000 0.000 0.500
0.500 0.500 0.500
```

As for the space group: P4/mbm. Its formation energy without anion corrections is -372 meV/atom.

=====

Record 11
A geometry-optimized K8CaTe6 structure. Source: Alexandria via LeMat-Bulk, functional PBE-GGA.

```
K8CaTe6
1.0
-6.811 6.811 3.080
6.811 -6.811 3.080
6.811 6.811 -3.080
K Ca Te
8 1 6
direct
0.038 0.676 0.186
0.148 0.962 0.637
0.324 0.510 0.363
0.490 0.852 0.814
0.510 0.324 0.363
0.676 0.038 0.186
0.852 0.490 0.814
0.962 0.148 0.637
0.500 0.500 0.000
0.000 0.500 0.500
0.127 0.422 0.000
0.422 0.127 0.000
0.500 0.000 0.500
0.578 0.578 0.706
0.873 0.873 0.294
```

As for the space group: I-42m. Its formation energy without anion corrections is -1046 meV/atom.

=====

Record 12
A geometry-optimized K2CaTe structure. Source: Alexandria via LeMat-Bulk, functional PBE-GGA.

```
K2CaTe
1.0
-2.673 2.673 5.692
2.673 -2.673 5.692
2.673 2.673 -5.692
K Ca Te
2 1 1
direct
0.000 0.000 0.000
0.750 0.250 0.500
0.500 0.500 0.000
0.250 0.750 0.500
```

As for the space group: I-4m2. Its formation energy without anion corrections is -346 meV/atom.